The following is a DFT calculation (PBE-GGA) of a relaxed Rb2SbAuBr6 crystal. Values from VASP.

```
&SYSTEM
  ibrav = 0, nat = 10, ntyp = 4
/
ATOMIC_SPECIES
Sb 121.76 Sb.upf
Br 79.90 Br.upf
Au 196.97 Au.upf
Rb 85.47 Rb.upf
ATOMIC_POSITIONS crystal
Sb 0.3169 0.3066 0.0513
Br 0.4866 0.6543 0.7174
Br 0.5835 0.1541 0.2374
Br 0.0589 0.4749 0.8502
Br 0.0532 0.5211 0.2947
Br 0.2023 0.9873 0.2621
Br 0.6873 0.1148 0.7228
Au 0.6000 0.8733 0.7213
Rb 0.0477 0.0344 0.8818
Rb 0.6251 0.5410 0.2762
CELL_PARAMETERS angstrom
8.4524 -0.0947 0.0587
4.1531 6.9904 -0.0175
4.2481 2.2513 6.8056
```

Total DFT energy (no corrections), eV/atom: -2.917
Formation energy from raw total energies, eV per atom: -0.980
Energy relative to the lowest polymorph listed for this composition, meV/atom: 0